Entry 1:
First-principles (PBE) data for an optimized crystal structure of AgSN2O, as listed in Alexandria.

Properties
For the formation energy without anion corrections, the calculation gives 2.26 eV per atom. The crystal system is tetragonal. For the density of states at the Fermi level, the calculation gives 2.84 states/eV per cell. As for the magnetic moment: 1.51 μB per formula unit.

Lattice parameters (Å, degrees): 4.170 4.170 4.066 90.00 90.00 90.00
Site moments in Bohr magnetons follow the coordinates.
Sites, in units of the cell vectors:
N1 0.500 0.000 0.000  1.01
Ag1 0.000 0.000 0.000  0.09
O1 0.000 0.000 0.500  -0.45
S1 0.500 0.500 0.500  -0.59
N2 0.000 0.500 0.000  1.01

Entry 2:
First-principles (PBE) data for an optimized crystal structure of BaCd2SnO5, as listed in Alexandria.

Properties
For the formation energy without anion corrections, the calculation gives -1.53 eV per atom. The crystal system is orthorhombic. As for the magnetic moment: 0.00 μB per formula unit.

Lattice parameters (Å, degrees): 4.073 5.952 6.667 116.51 107.78 90.00
Sites, in units of the cell vectors:
O1 0.365 0.624 0.729
Sn1 0.500 0.000 0.000
Cd1 0.218 0.218 0.437
Cd2 0.782 0.782 0.563
Ba1 0.000 0.500 0.000
O2 0.365 0.105 0.729
O3 0.635 0.895 0.271
O4 0.635 0.376 0.271
O5 0.000 0.000 0.000

Entry 3:
First-principles (PBE) data for an optimized crystal structure of SrZnAu2Cl, as listed in Alexandria.

Properties
For the formation energy without anion corrections, the calculation gives -0.47 eV per atom. The crystal system is tetragonal. For the density of states at the Fermi level, the calculation gives 1.56 states/eV per cell. As for the magnetic moment: 0.00 μB per formula unit.

Lattice parameters (Å, degrees): 4.797 6.294 4.797 90.00 90.00 90.00
Sites, in units of the cell vectors:
Zn1 0.000 0.000 0.000
Cl1 0.500 0.500 0.500
Au1 0.000 0.000 0.500
Sr1 0.000 0.500 0.000
Au2 0.500 0.000 0.000

Entry 4:
First-principles (PBE) data for an optimized crystal structure of SmTm6Tl, as listed in Alexandria.

Properties
The value obtained for the formation energy is -62 meV/atom. The crystal system is tetragonal. For the density of states at the Fermi level, the calculation gives 8.68 states/eV per cell. As for the magnetic moment: 0.00 μB per formula unit.

Lattice parameters (Å, degrees): 4.867 4.867 9.909 90.00 90.00 90.00
Sites, in units of the cell vectors:
Tl1 0.000 0.000 0.500
Tm1 0.500 0.500 0.500
Tm2 0.000 0.500 0.745
Sm1 0.000 0.000 0.000
Tm3 0.500 0.500 0.000
Tm4 0.500 0.000 0.255
Tm5 0.000 0.500 0.255
Tm6 0.500 0.000 0.745

Entry 5:
First-principles (PBE) data for an optimized crystal structure of LiCoPb2, as listed in Alexandria.

Properties
The value obtained for the formation energy is 179 meV/atom. The crystal system is orthorhombic. For the density of states at the Fermi level, the calculation gives 3.13 states/eV per cell. As for the magnetic moment: 0.79 μB per formula unit.

Lattice parameters (Å, degrees): 6.913 6.913 6.913 153.33 144.29 45.12
Site moments in Bohr magnetons follow the coordinates.
Sites, in units of the cell vectors:
Pb1 0.978 0.978 0.000  -0.01
Co1 0.512 0.512 0.000  0.83
Li1 0.319 0.819 0.500  0.00
Pb2 0.692 0.192 0.500  -0.01

no.,raw total energy (eV for the cell shown)
1,-17.3
2,-46.4
3,-13.7
4,-34.4
5,-15.7